Record 1
# HoTh2H | Alexandria via LeMat-Bulk | PBE | optimized geometry
# E_tot: -22.40 eV per cell
# Mass density: 10.48 g/cm3
# V: 25.0 A^3/atom
data_HoTh2H
_chemical_formula_sum 'Ho1 Th2 H1'
_space_group_name_H-M_alt 'P 1'
_space_group_IT_number 1
_space_group_name_Hall 'P 1'
_cell_length_a 9.9643
_cell_length_b 9.9643
_cell_length_c 9.9643
_cell_angle_alpha 19.86
_cell_angle_beta 19.86
_cell_angle_gamma 19.86
loop_
_atom_site_label
_atom_site_fract_x
_atom_site_fract_y
_atom_site_fract_z
Ho1 0.0000 0.0000 0.0000
Th1 0.1125 0.1125 0.1125
Th2 0.8875 0.8875 0.8875
H1 0.5000 0.5000 0.5000

Record 2
# Ba3CuRe | Alexandria via LeMat-Bulk | PBE | optimized geometry
# E_tot: -18.18 eV per cell
# Mass density: 5.25 g/cm3
# V: 41.9 A^3/atom
# DFT formation energy: 0.826 eV/atom
# Distance to the lowest polymorph of the same formula: 0.0 meV per atom
data_Ba3CuRe
_chemical_formula_sum 'Ba3 Cu1 Re1'
_space_group_name_H-M_alt 'P 1'
_space_group_IT_number 1
_space_group_name_Hall 'P 1'
_cell_length_a 5.9389
_cell_length_b 5.9389
_cell_length_c 5.9389
_cell_angle_alpha 90.00
_cell_angle_beta 90.00
_cell_angle_gamma 90.00
loop_
_atom_site_label
_atom_site_fract_x
_atom_site_fract_y
_atom_site_fract_z
Ba1 0.0000 0.0000 0.5000
Ba2 0.0000 0.5000 0.0000
Ba3 0.5000 0.0000 0.0000
Cu1 0.5000 0.5000 0.5000
Re1 0.0000 0.0000 0.0000

Record 3
# Te2Se | Alexandria via LeMat-Bulk | PBE | optimized geometry
# E_tot: -17.69 eV per cell
# Mass density: 6.45 g/cm3
# V: 28.7 A^3/atom
# E_form (uncorrected): 0.307 eV/atom
# Distance to the lowest polymorph of the same formula: 266.3 meV per atom
data_Te2Se
_chemical_formula_sum 'Te4 Se2'
_space_group_name_H-M_alt 'P 1'
_space_group_IT_number 1
_space_group_name_Hall 'P 1'
_cell_length_a 6.1140
_cell_length_b 6.1140
_cell_length_c 6.1140
_cell_angle_alpha 114.70
_cell_angle_beta 114.70
_cell_angle_gamma 99.46
loop_
_atom_site_label
_atom_site_fract_x
_atom_site_fract_y
_atom_site_fract_z
Te1 0.1524 0.6524 0.8047
Te2 0.3476 0.1524 0.5000
Te3 0.6524 0.8476 0.5000
Te4 0.8476 0.3476 0.1953
Se1 0.2500 0.2500 0.0000
Se2 0.7500 0.7500 0.0000

Record 4
# LiMg2As | Alexandria via LeMat-Bulk | PBE | optimized geometry
# E_tot: -10.59 eV per cell
# Mass density: 2.71 g/cm3
# V: 20.0 A^3/atom
# DFT formation energy: -0.208 eV/atom
data_LiMg2As
_chemical_formula_sum 'Li1 Mg2 As1'
_space_group_name_H-M_alt 'P 1'
_space_group_IT_number 1
_space_group_name_Hall 'P 1'
_cell_length_a 4.8337
_cell_length_b 4.8337
_cell_length_c 4.8337
_cell_angle_alpha 60.00
_cell_angle_beta 60.00
_cell_angle_gamma 60.00
loop_
_atom_site_label
_atom_site_fract_x
_atom_site_fract_y
_atom_site_fract_z
Li1 0.0000 0.0000 0.0000
Mg1 0.5000 0.5000 0.5000
Mg2 0.7500 0.7500 0.7500
As1 0.2500 0.2500 0.2500

Record 5
# Hf2AlVH | Alexandria via LeMat-Bulk | PBE | optimized geometry
# E_tot: -37.33 eV per cell
# Mass density: 9.66 g/cm3
# V: 15.0 A^3/atom
data_Hf2AlVH
_chemical_formula_sum 'Hf2 Al1 V1 H1'
_space_group_name_H-M_alt 'P 1'
_space_group_IT_number 1
_space_group_name_Hall 'P 1'
_cell_length_a 4.4593
_cell_length_b 4.4593
_cell_length_c 3.7670
_cell_angle_alpha 90.00
_cell_angle_beta 90.00
_cell_angle_gamma 90.00
loop_
_atom_site_label
_atom_site_fract_x
_atom_site_fract_y
_atom_site_fract_z
Hf1 0.0000 0.5000 0.0000
Hf2 0.5000 0.0000 0.0000
Al1 0.0000 0.0000 0.5000
V1 0.5000 0.5000 0.5000
H1 0.5000 0.5000 0.0000

Record 6
# KTlPb4Au2 | Alexandria via LeMat-Bulk | PBE | optimized geometry
# E_tot: -25.29 eV per cell
# Mass density: 9.58 g/cm3
# V: 31.8 A^3/atom
# DFT formation energy: -0.055 eV/atom
data_KTlPb4Au2
_chemical_formula_sum 'K1 Tl1 Pb4 Au2'
_space_group_name_H-M_alt 'P 1'
_space_group_IT_number 1
_space_group_name_Hall 'P 1'
_cell_length_a 5.0358
_cell_length_b 5.0358
_cell_length_c 10.0245
_cell_angle_alpha 90.00
_cell_angle_beta 90.00
_cell_angle_gamma 90.00
loop_
_atom_site_label
_atom_site_fract_x
_atom_site_fract_y
_atom_site_fract_z
K1 0.0000 0.0000 0.0000
Tl1 0.0000 0.0000 0.5000
Pb1 0.0000 0.5000 0.2987
Pb2 0.0000 0.5000 0.7013
Pb3 0.5000 0.0000 0.2987
Pb4 0.5000 0.0000 0.7013
Au1 0.5000 0.5000 0.1364
Au2 0.5000 0.5000 0.8636